A plane-wave DFT calculation with PBE-GGA was carried out for a relaxed Sr3Np3ReN8 crystal.

Output
uncorrected energy: -135.04 eV for the cell shown

a b c (Å): 7.1415 7.1415 7.1415
angles (deg): 56.82 56.82 56.82
Element x y z (fractional)
Sr 0.0000 0.5000 0.5000
Sr 0.5000 0.0000 0.5000
Sr 0.5000 0.5000 0.0000
Np 0.0000 0.0000 0.5000
Np 0.0000 0.5000 0.0000
Np 0.5000 0.0000 0.0000
Re 0.5000 0.5000 0.5000
N 0.2356 0.2356 0.2356
N 0.2435 0.7188 0.7188
N 0.2812 0.2812 0.7565
N 0.2812 0.7565 0.2812
N 0.7188 0.2435 0.7188
N 0.7188 0.7188 0.2435
N 0.7565 0.2812 0.2812
N 0.7644 0.7644 0.7644


A plane-wave DFT calculation with PBE-GGA was carried out for a relaxed Sr2NpRe2N6 crystal.

Output
uncorrected energy: -97.92 eV for the cell shown

a b c (Å): 6.8499 6.8499 6.8499
angles (deg): 52.92 52.92 52.92
Element x y z (fractional)
Sr 0.2095 0.2095 0.2095
Sr 0.7905 0.7905 0.7905
Np 0.0000 0.0000 0.0000
Re 0.4326 0.4326 0.4326
Re 0.5674 0.5674 0.5674
N 0.2391 0.2391 0.7546
N 0.2391 0.7546 0.2391
N 0.2454 0.7609 0.7609
N 0.7546 0.2391 0.2391
N 0.7609 0.2454 0.7609
N 0.7609 0.7609 0.2454


A plane-wave DFT calculation with PBE-GGA was carried out for a relaxed Tb2NpReN6 crystal.

Output
uncorrected energy: -93.04 eV for the cell shown

a b c (Å): 5.6697 5.6697 4.3753
angles (deg): 90.00 90.00 90.00
Element x y z (fractional)
Tb 0.0000 0.5000 0.0000
Tb 0.5000 0.0000 0.0000
Np 0.0000 0.0000 0.6155
Re 0.5000 0.5000 0.5684
N 0.0000 0.0000 0.1329
N 0.2608 0.2608 0.6915
N 0.2608 0.7392 0.6915
N 0.5000 0.5000 0.1651
N 0.7392 0.2608 0.6915
N 0.7392 0.7392 0.6915


A plane-wave DFT calculation with PBE-GGA was carried out for a relaxed Np2ReTcN6 crystal.

Output
uncorrected energy: -104.03 eV for the cell shown

a b c (Å): 5.4243 5.4329 5.6851
angles (deg): 61.52 61.52 60.07
Element x y z (fractional)
Np 0.0000 0.0000 0.0000
Np 0.4966 0.4977 0.5076
Re 0.2874 0.2893 0.1361
Tc 0.7903 0.7924 0.6261
N 0.0708 0.4258 0.8450
N 0.1583 0.9365 0.3427
N 0.4253 0.6573 0.8459
N 0.5619 0.1576 0.3436
N 0.6571 0.0731 0.8447
N 0.9350 0.5638 0.3425


A plane-wave DFT calculation with PBE-GGA was carried out for a relaxed NpRhN2 crystal.

Output
uncorrected energy: -38.66 eV for the cell shown

a b c (Å): 5.1363 5.1363 5.1363
angles (deg): 39.28 39.28 39.28
Element x y z (fractional)
Np 0.0000 0.0000 0.0000
Rh 0.5000 0.5000 0.5000
N 0.2488 0.2488 0.2488
N 0.7512 0.7512 0.7512


A plane-wave DFT calculation with PBE-GGA was carried out for a relaxed SrNpRhN3 crystal.

Output
uncorrected energy: -100.78 eV for the cell shown

a b c (Å): 7.0455 3.5707 8.8675
angles (deg): 90.00 106.84 90.00
Element x y z (fractional)
Sr 0.1932 0.2500 0.1779
Sr 0.8068 0.7500 0.8221
Np 0.3193 0.7500 0.8572
Np 0.6807 0.2500 0.1428
Rh 0.0266 0.2500 0.6175
Rh 0.9734 0.7500 0.3825
N 0.1267 0.2500 0.8716
N 0.1662 0.7500 0.6075
N 0.4537 0.7500 0.1142
N 0.5463 0.2500 0.8858
N 0.8338 0.2500 0.3925
N 0.8733 0.7500 0.1284


A plane-wave DFT calculation with PBE-GGA was carried out for a relaxed ThNp2RhN4 crystal.

Output
uncorrected energy: -163.55 eV for the cell shown

a b c (Å): 5.9998 5.9998 11.5593
angles (deg): 90.00 90.00 146.27
Element x y z (fractional)
Th 0.1113 0.8887 0.7500
Th 0.8887 0.1113 0.2500
Np 0.3716 0.6284 0.5574
Np 0.3716 0.6284 0.9426
Np 0.6284 0.3716 0.0574
Np 0.6284 0.3716 0.4426
Rh 0.1557 0.8443 0.2500
Rh 0.8443 0.1557 0.7500
N 0.0000 0.0000 0.0000
N 0.0000 0.0000 0.5000
N 0.2753 0.7247 0.1072
N 0.2753 0.7247 0.3928
N 0.4670 0.5330 0.7500
N 0.5330 0.4670 0.2500
N 0.7247 0.2753 0.6072
N 0.7247 0.2753 0.8928


A plane-wave DFT calculation with PBE-GGA was carried out for a relaxed Np2URhN4 crystal.

Output
uncorrected energy: -169.53 eV for the cell shown

a b c (Å): 5.9598 5.9598 11.5107
angles (deg): 90.00 90.00 147.23
Element x y z (fractional)
Np 0.1281 0.8719 0.5573
Np 0.1281 0.8719 0.9427
Np 0.8719 0.1281 0.0573
Np 0.8719 0.1281 0.4427
U 0.3844 0.6156 0.7500
U 0.6156 0.3844 0.2500
Rh 0.3456 0.6544 0.2500
Rh 0.6544 0.3456 0.7500
N 0.0181 0.9819 0.7500
N 0.2163 0.7837 0.1152
N 0.2163 0.7837 0.3848
N 0.5000 0.5000 0.0000
N 0.5000 0.5000 0.5000
N 0.7837 0.2163 0.6152
N 0.7837 0.2163 0.8848
N 0.9819 0.0181 0.2500


A plane-wave DFT calculation with PBE-GGA was carried out for a relaxed NpU2RhN4 crystal.

Output
uncorrected energy: -167.48 eV for the cell shown

a b c (Å): 5.9343 5.9343 11.5265
angles (deg): 90.00 90.00 146.32
Element x y z (fractional)
Np 0.1133 0.8867 0.7500
Np 0.8867 0.1133 0.2500
U 0.3726 0.6274 0.5596
U 0.3726 0.6274 0.9404
U 0.6274 0.3726 0.0596
U 0.6274 0.3726 0.4404
Rh 0.1579 0.8421 0.2500
Rh 0.8421 0.1579 0.7500
N 0.0000 0.0000 0.0000
N 0.0000 0.0000 0.5000
N 0.2749 0.7251 0.1039
N 0.2749 0.7251 0.3961
N 0.4761 0.5239 0.7500
N 0.5239 0.4761 0.2500
N 0.7251 0.2749 0.6039
N 0.7251 0.2749 0.8961